# MnCdRu2

Crystalline MnCdRu2 at its relaxed geometry (PBE, the Alexandria database).

DFT formation energy	225.5	meV per atom
calculated total energy	-6.934	eV/atom
M_tot	3.6	μB/cell

Unit cell a=2.841 b=3.801 c=5.735 alpha=90.00 beta=90.00 gamma=90.00
Atoms (fractional coordinates):
Cd 0.000 0.000 0.504
Mn 0.500 0.500 0.776
Ru 0.000 0.000 0.009
Ru 0.500 0.500 0.211

***

# Fe3GeRh

Crystalline Fe3GeRh at its relaxed geometry (PBE, the Alexandria database).

DFT formation energy	1153.6	meV per atom
energy relative to the lowest polymorph listed for this composition	165	meV per atom
calculated total energy	-6.318	eV/atom
M_tot	10.1	μB/cell

Unit cell a=4.607 b=4.607 c=4.607 alpha=90.00 beta=90.00 gamma=90.00
Atoms (fractional coordinates):
Rh 0.000 0.000 0.000
Fe 0.000 0.000 0.500
Ge 0.500 0.500 0.500
Fe 0.000 0.500 0.000
Fe 0.500 0.000 0.000

***

# YTiS

Crystalline YTiS at its relaxed geometry (PBE, the Alexandria database).

formation energy from raw total energies	-0.876	eV per atom
calculated total energy	-7.038	eV/atom
M_tot	0.4	μB/cell

Unit cell a=4.499 b=3.523 c=8.191 alpha=102.42 beta=105.94 gamma=90.00
Atoms (fractional coordinates):
Ti 0.253 0.500 0.000
Ti 0.747 0.500 0.000
S 0.846 0.346 0.693
Y 0.332 0.832 0.664
S 0.154 0.654 0.307
Y 0.668 0.168 0.336

***

# ScCdSe2Br

Crystalline ScCdSe2Br at its relaxed geometry (PBE, the Alexandria database).

formation energy from raw total energies	-0.683	eV per atom
energy relative to the lowest polymorph listed for this composition	0	meV per atom
calculated total energy	-3.861	eV/atom
M_tot	0.0	μB/cell

Unit cell a=5.232 b=5.232 c=5.188 alpha=90.00 beta=90.00 gamma=90.00
Atoms (fractional coordinates):
Se 0.000 0.500 0.000
Cd 0.500 0.500 0.500
Sc 0.000 0.000 0.000
Se 0.500 0.000 0.000
Br 0.000 0.000 0.500

***

# KSr3Ir

Crystalline KSr3Ir at its relaxed geometry (PBE, the Alexandria database).

DFT formation energy	23.1	meV per atom
energy relative to the lowest polymorph listed for this composition	123	meV per atom
calculated total energy	-2.978	eV/atom
M_tot	0.0	μB/cell

Unit cell a=15.291 b=10.449 c=10.449 alpha=87.19 beta=126.13 gamma=53.87
Atoms (fractional coordinates):
Ir 0.250 0.813 0.313
Sr 0.825 0.460 0.353
Sr 0.175 0.540 0.647
Sr 0.992 0.053 0.281
Sr 0.457 0.567 0.267
Sr 0.492 0.219 0.447
Sr 0.325 0.147 0.040
K 0.126 0.312 0.323
Sr 0.957 0.233 0.933
Ir 0.750 0.502 0.002
K 0.374 0.823 0.812
Sr 0.543 0.433 0.733
K 0.874 0.688 0.677
K 0.626 0.177 0.188
Sr 0.675 0.853 0.960
Sr 0.508 0.781 0.553
Sr 0.043 0.767 0.067
Ir 0.750 0.187 0.687
Sr 0.008 0.947 0.719
Ir 0.250 0.498 0.998

***

# Ba2Sn2As4Pb

Crystalline Ba2Sn2As4Pb at its relaxed geometry (PBE, the Alexandria database).

DFT formation energy	-492.1	meV per atom
calculated total energy	-4.287	eV/atom
M_tot	0.0	μB/cell

Unit cell a=5.306 b=8.433 c=6.737 alpha=106.21 beta=90.00 gamma=108.34
Atoms (fractional coordinates):
As 0.500 0.001 0.310
Ba 0.864 0.728 0.410
Sn 0.659 0.317 0.025
As 0.500 0.999 0.690
Ba 0.136 0.272 0.590
As 0.207 0.414 0.173
Sn 0.341 0.683 0.975
As 0.793 0.586 0.827
Pb 0.000 0.000 0.000

***

# NaDyFe

Crystalline NaDyFe at its relaxed geometry (PBE, the Alexandria database).

DFT formation energy	-20.5	meV per atom
calculated total energy	-4.815	eV/atom
M_tot	2.2	μB/cell

Unit cell a=3.900 b=3.900 c=12.853 alpha=90.00 beta=90.01 gamma=60.00
Atoms (fractional coordinates):
Fe 0.629 0.978 0.292
Dy 0.296 0.644 0.432
Dy 0.296 0.645 0.149
Na 0.628 0.980 0.674
Na 0.961 0.314 0.907
Fe 0.963 0.311 0.290

***

# NiPt2S6

Crystalline NiPt2S6 at its relaxed geometry (PBE, the Alexandria database).

formation energy from raw total energies	-0.012	eV per atom
calculated total energy	-4.749	eV/atom
M_tot	0.0	μB/cell

Unit cell a=5.388 b=5.388 c=11.178 alpha=90.00 beta=90.00 gamma=90.00
Atoms (fractional coordinates):
S 0.686 0.686 0.161
Pt 0.000 0.000 0.166
S 0.814 0.186 0.661
S 0.300 0.300 0.500
Pt 0.500 0.500 0.666
S 0.700 0.700 0.500
Ni 0.500 0.500 0.000
S 0.814 0.186 0.339
S 0.800 0.200 0.000
S 0.686 0.686 0.839
S 0.314 0.314 0.161
Ni 0.000 0.000 0.500
S 0.314 0.314 0.839
Pt 0.500 0.500 0.334
S 0.186 0.814 0.661
S 0.200 0.800 0.000
Pt 0.000 0.000 0.834
S 0.186 0.814 0.339

***

# HfReSi

Crystalline HfReSi at its relaxed geometry (PBE, the Alexandria database).

formation energy from raw total energies	-0.366	eV per atom
calculated total energy	-9.641	eV/atom
M_tot	0.0	μB/cell

Unit cell a=4.081 b=9.703 c=5.134 alpha=90.00 beta=90.00 gamma=90.00
Atoms (fractional coordinates):
Re 0.000 0.074 0.750
Hf 0.000 0.227 0.250
Si 0.500 0.000 0.500
Hf 0.000 0.773 0.750
Si 0.000 0.500 0.500
Si 0.500 0.000 0.000
Re 0.000 0.926 0.250
Si 0.000 0.500 0.000
Hf 0.500 0.273 0.750
Re 0.500 0.574 0.750
Hf 0.500 0.727 0.250
Re 0.500 0.426 0.250

***

# SrIn4Br6

Crystalline SrIn4Br6 at its relaxed geometry (PBE, the Alexandria database).

formation energy from raw total energies	-1.004	eV per atom
calculated total energy	-3.065	eV/atom
M_tot	0.0	μB/cell

Unit cell a=9.190 b=8.165 c=15.815 alpha=71.82 beta=73.11 gamma=55.75
Atoms (fractional coordinates):
In 0.891 0.266 0.448
Br 0.263 0.548 0.108
Br 0.591 0.605 0.548
Br 0.568 0.797 0.268
Br 0.059 0.542 0.400
In 0.213 0.580 0.590
Br 0.367 0.297 0.768
Br 0.793 0.124 0.230
In 0.211 0.784 0.241
Br 0.852 0.624 0.730
In 0.617 0.080 0.090
Br 0.255 0.105 0.048
Br 0.758 0.639 0.031
In 0.952 0.412 0.194
Br 0.000 0.042 0.900
In 0.442 0.912 0.694
Br 0.080 0.048 0.608
Sr 0.032 0.388 0.896
In 0.764 0.284 0.741
In 0.395 0.766 0.948
Sr 0.684 0.888 0.396
Br 0.572 0.139 0.531

***

# Ac3Cd4Pb2

Crystalline Ac3Cd4Pb2 at its relaxed geometry (PBE, the Alexandria database).

DFT formation energy	-411.6	meV per atom
calculated total energy	-3.012	eV/atom
M_tot	0.0	μB/cell

Unit cell a=5.002 b=6.704 c=9.914 alpha=69.19 beta=75.39 gamma=68.09
Atoms (fractional coordinates):
Ac 0.323 0.702 0.653
Pb 0.612 0.051 0.725
Cd 0.246 0.432 0.076
Pb 0.388 0.949 0.275
Cd 0.009 0.338 0.645
Ac 0.677 0.298 0.347
Ac 0.000 0.000 0.000
Cd 0.754 0.568 0.924
Cd 0.991 0.662 0.355

***

# Pt2C

Crystalline Pt2C at its relaxed geometry (PBE, the Alexandria database).

DFT formation energy	715.2	meV per atom
energy relative to the lowest polymorph listed for this composition	158	meV per atom
calculated total energy	-6.387	eV/atom
M_tot	0.0	μB/cell

Unit cell a=5.295 b=5.295 c=5.760 alpha=90.00 beta=90.00 gamma=147.09
Atoms (fractional coordinates):
Pt 0.481 0.519 0.750
Pt 0.519 0.481 0.250
C 0.846 0.154 0.750
C 0.154 0.846 0.250
Pt 0.215 0.785 0.750
Pt 0.785 0.215 0.250

***

# K2PAu

Crystalline K2PAu at its relaxed geometry (PBE, the Alexandria database).

DFT formation energy	-441.7	meV per atom
calculated total energy	-3.162	eV/atom
M_tot	0.0	μB/cell

Unit cell a=4.527 b=5.941 c=10.675 alpha=116.62 beta=90.00 gamma=90.00
Atoms (fractional coordinates):
K 0.250 0.797 0.574
Au 0.750 0.568 0.266
Au 0.250 0.432 0.734
K 0.250 0.805 0.077
P 0.750 0.567 0.766
K 0.750 0.195 0.923
P 0.250 0.433 0.234
K 0.750 0.203 0.426

***

# TlRu3Cl

Crystalline TlRu3Cl at its relaxed geometry (PBE, the Alexandria database).

formation energy from raw total energies	2.256	eV per atom
energy relative to the lowest polymorph listed for this composition	1169	meV per atom
calculated total energy	-4.152	eV/atom
M_tot	6.7	μB/cell

Unit cell a=5.116 b=5.116 c=5.116 alpha=90.00 beta=90.00 gamma=90.00
Atoms (fractional coordinates):
Cl 0.500 0.500 0.500
Ru 0.500 0.000 0.000
Ru 0.000 0.500 0.000
Tl 0.000 0.000 0.000
Ru 0.000 0.000 0.500

***

# PmY2Pd2

Crystalline PmY2Pd2 at its relaxed geometry (PBE, the Alexandria database).

DFT formation energy	-685.7	meV per atom
energy relative to the lowest polymorph listed for this composition	0	meV per atom
calculated total energy	-6.299	eV/atom
M_tot	0.0	μB/cell

Unit cell a=3.949 b=7.911 c=7.911 alpha=90.00 beta=90.00 gamma=90.00
Atoms (fractional coordinates):
Pm 0.500 0.500 0.000
Y 0.000 0.163 0.163
Pd 0.500 0.631 0.631
Pd 0.500 0.869 0.131
Y 0.000 0.337 0.663
Y 0.000 0.663 0.337
Pd 0.500 0.369 0.369
Pm 0.500 0.000 0.500
Pd 0.500 0.131 0.869
Y 0.000 0.837 0.837

***

# CaTb2PmSe4

Crystalline CaTb2PmSe4 at its relaxed geometry (PBE, the Alexandria database).

formation energy from raw total energies	-1.840	eV per atom
calculated total energy	-5.584	eV/atom
M_tot	0.0	μB/cell

Unit cell a=4.121 b=7.174 c=7.201 alpha=70.90 beta=90.00 gamma=90.00
Atoms (fractional coordinates):
Tb 0.000 0.000 0.000
Se 0.500 0.245 0.749
Se 0.000 0.244 0.256
Pm 0.500 0.500 0.000
Tb 0.500 0.000 0.500
Ca 0.000 0.500 0.500
Se 0.500 0.755 0.251
Se 0.000 0.756 0.744

***

# BaScRe

Crystalline BaScRe at its relaxed geometry (PBE, the Alexandria database).

DFT formation energy	613.2	meV per atom
energy relative to the lowest polymorph listed for this composition	0	meV per atom
calculated total energy	-6.288	eV/atom
M_tot	0.0	μB/cell

Unit cell a=7.018 b=7.018 c=3.506 alpha=75.54 beta=75.53 gamma=28.93
Atoms (fractional coordinates):
Re 0.307 0.307 0.693
Sc 0.716 0.716 0.284
Ba 0.978 0.978 0.022

***

# CaVPt2

Crystalline CaVPt2 at its relaxed geometry (PBE, the Alexandria database).

DFT formation energy	-222.4	meV per atom
energy relative to the lowest polymorph listed for this composition	138	meV per atom
calculated total energy	-6.023	eV/atom
M_tot	3.8	μB/cell

Unit cell a=7.372 b=7.372 c=5.963 alpha=51.82 beta=51.82 gamma=90.00
Atoms (fractional coordinates):
V 0.750 0.250 0.500
Pt 0.875 0.926 0.750
Pt 0.676 0.125 0.250
Ca 0.250 0.750 0.500
Pt 0.074 0.625 0.250
Pt 0.375 0.324 0.750
Ca 0.500 0.500 0.000
V 0.000 0.000 0.000

***

# SrMnBr3

Crystalline SrMnBr3 at its relaxed geometry (PBE, the Alexandria database).

formation energy from raw total energies	-0.807	eV per atom
energy relative to the lowest polymorph listed for this composition	149	meV per atom
calculated total energy	-3.981	eV/atom
M_tot	6.0	μB/cell

Unit cell a=5.938 b=5.938 c=5.938 alpha=90.00 beta=90.00 gamma=90.00
Atoms (fractional coordinates):
Sr 0.000 0.000 0.000
Br 0.000 0.000 0.500
Br 0.500 0.000 0.000
Br 0.000 0.500 0.000
Mn 0.500 0.500 0.500

***

# Sm2BeZn12Ni3

Crystalline Sm2BeZn12Ni3 at its relaxed geometry (PBE, the Alexandria database).

DFT formation energy	63.7	meV per atom
calculated total energy	-2.481	eV/atom
M_tot	0.0	μB/cell

Unit cell a=9.567 b=9.567 c=9.567 alpha=38.87 beta=38.87 gamma=38.87
Atoms (fractional coordinates):
Zn 0.586 0.586 0.186
Zn 0.814 0.414 0.414
Zn 0.349 0.929 0.929
Zn 0.929 0.929 0.349
Ni 0.000 0.500 0.000
Ni 0.500 0.000 0.000
Sm 0.350 0.350 0.350
Zn 0.414 0.814 0.414
Be 0.000 0.000 0.000
Zn 0.651 0.071 0.071
Zn 0.071 0.071 0.651
Sm 0.650 0.650 0.650
Ni 0.000 0.000 0.500
Zn 0.071 0.651 0.071
Zn 0.586 0.186 0.586
Zn 0.414 0.414 0.814
Zn 0.186 0.586 0.586
Zn 0.929 0.349 0.929